Record 1
VASP calculation (PBE) on Sr2Y2Te after structural relaxation.

The mass density comes out at 3.99 g/cm³. Its energy relative to the elements, uncorrected is -0.252 eV/atom. As for the total magnetic moment: 0.00 μB per atom. As for the distance to the lowest polymorph of the same formula: 0.0 meV/atom.

The structure belongs to space group I4/mmm (No. 139); the cell edges are 4.3362, 4.3362 and 21.2801 Å and the angles 90.00°, 90.00° and 90.00°. The distinct sites, in fractional coordinates, are Sr at (0.0000, 0.0000, 0.0900), Y at (0.0000, 0.5000, 0.2500) and Te at (0.0000, 0.0000, 0.5000).



Record 2
VASP calculation (PBE) on Ac2PmMnSe6 after structural relaxation.

The mass density comes out at 6.63 g/cm³. Its energy relative to the elements, uncorrected is -1.562 eV/atom. As for the total magnetic moment: 0.40 μB per atom.

The structure belongs to space group P2_1/c (No. 14); the cell edges are 7.0217, 7.8763 and 12.2623 Å and the angles 90.00°, 123.64° and 90.00°. The distinct sites, in fractional coordinates, are Ac at (0.2066, 0.1030, 0.2458), Pm at (0.5000, 0.0000, 0.0000), Mn at (0.0000, 0.0000, 0.5000), Se at (0.1078, 0.1920, 0.9405), Se at (0.2538, 0.6717, 0.9476) and Se at (0.3472, 0.0259, 0.7299).



Record 3
VASP calculation (PBE) on Er4In3Pt after structural relaxation.

The mass density comes out at 10.16 g/cm³. As for the total magnetic moment: 0.00 μB per atom. For the formation energy from the elements, the calculation gives -659 meV/atom.

The structure belongs to space group P4/mmm (No. 123); the cell edges are 3.5603, 3.5603 and 15.5822 Å and the angles 90.00°, 90.00° and 90.00°. The distinct sites, in fractional coordinates, are Er at (0.0000, 0.0000, 0.1049), Er at (0.0000, 0.0000, 0.3686), In at (0.5000, 0.5000, 0.2398), In at (0.5000, 0.5000, 0.5000) and Pt at (0.5000, 0.5000, 0.0000).



Record 4
VASP calculation (PBE) on LiCa2W after structural relaxation.

The mass density comes out at 4.48 g/cm³. As for the total magnetic moment: 0.71 μB per atom. For the formation energy from the elements, the calculation gives 992 meV/atom. As for the distance to the lowest polymorph of the same formula: 337.3 meV/atom.

The structure belongs to space group F-43m (No. 216); the cell edges are 7.3795, 7.3795 and 7.3795 Å and the angles 90.00°, 90.00° and 90.00°. The distinct sites, in fractional coordinates, are Li at (0.0000, 0.0000, 0.0000), Ca at (0.0000, 0.0000, 0.5000), Ca at (0.2500, 0.2500, 0.2500) and W at (0.2500, 0.2500, 0.7500).



Record 5
VASP calculation (PBE) on MgNi2Pb after structural relaxation.

The mass density comes out at 9.13 g/cm³. As for the total magnetic moment: 0.00 μB per atom. For the formation energy from the elements, the calculation gives 20 meV/atom.

The structure belongs to space group C2/m (No. 12); the cell edges are 6.0965, 6.1037 and 3.4119 Å and the angles 90.00°, 90.16° and 90.00°. The distinct sites, in fractional coordinates, are Mg at (0.0000, 0.0000, 0.0000), Ni at (0.2500, 0.2500, 0.5000) and Pb at (0.0000, 0.5000, 0.0000).



Record 6
VASP calculation (PBE) on NiHgBPC after structural relaxation.

The mass density comes out at 8.10 g/cm³. As for the total magnetic moment: 0.00 μB per atom. For the formation energy from the elements, the calculation gives 664 meV/atom. As for the distance to the lowest polymorph of the same formula: 388.8 meV/atom.

The structure belongs to space group P1 (No. 1); the cell edges are 2.8956, 2.8962 and 7.6619 Å and the angles 89.34°, 88.99° and 88.14°. The distinct sites, in fractional coordinates, are Ni at (0.0000, 0.0000, 0.0000), Hg at (0.0006, 0.9923, 0.3545), B at (0.9930, 0.9871, 0.6806), P at (0.4931, 0.4879, 0.7209) and C at (0.4655, 0.4644, 0.9570).



Record 7
VASP calculation (PBE) on YFe2Br after structural relaxation.

The mass density comes out at 6.14 g/cm³. Its energy relative to the elements, uncorrected is 0.259 eV/atom. As for the total magnetic moment: 1.24 μB per atom. As for the distance to the lowest polymorph of the same formula: 378.9 meV/atom.

The structure belongs to space group Immm (No. 71); the cell edges are 3.2940, 4.5015 and 10.2315 Å and the angles 90.00°, 90.00° and 90.00°. The distinct sites, in fractional coordinates, are Y at (0.0000, 0.0000, 0.0000), Fe at (0.0000, 0.5000, 0.2496) and Br at (0.0000, 0.0000, 0.5000).



Record 8
VASP calculation (PBE) on CePuNp2Sb4 after structural relaxation.

The mass density comes out at 9.06 g/cm³. Its energy relative to the elements, uncorrected is -0.487 eV/atom. As for the total magnetic moment: 0.40 μB per atom.

The structure belongs to space group P2/m (No. 10); the cell edges are 7.6540, 4.4183 and 7.7236 Å and the angles 90.00°, 109.34° and 90.00°. The distinct sites, in fractional coordinates, are Ce at (0.0000, 0.0000, 0.0000), Pu at (0.5000, 0.5000, 0.0000), Np at (0.0000, 0.5000, 0.5000), Np at (0.5000, 0.0000, 0.5000), Sb at (0.2503, 0.0000, 0.7467) and Sb at (0.2524, 0.5000, 0.2543).



Record 9
VASP calculation (PBE) on Ac2InGa4Pt3 after structural relaxation.

The mass density comes out at 11.01 g/cm³. As for the total magnetic moment: 0.00 μB per atom. For the formation energy from the elements, the calculation gives -850 meV/atom.

The structure belongs to space group P-4m2 (No. 115); the cell edges are 4.4706, 4.4706 and 10.8125 Å and the angles 90.00°, 90.00° and 90.00°. The distinct sites, in fractional coordinates, are Ac at (0.0000, 0.5000, 0.2401), In at (0.0000, 0.0000, 0.5000), Ga at (0.0000, 0.0000, 0.0000), Ga at (0.0000, 0.5000, 0.6436), Ga at (0.5000, 0.5000, 0.0000), Pt at (0.0000, 0.5000, 0.8776) and Pt at (0.5000, 0.5000, 0.5000).



Record 10
VASP calculation (PBE) on CsKBaBi after structural relaxation.

The mass density comes out at 4.70 g/cm³. As for the total magnetic moment: 0.00 μB per atom. For the formation energy from the elements, the calculation gives -262 meV/atom.

The structure belongs to space group F-43m (No. 216); the cell edges are 9.0164, 9.0164 and 9.0164 Å and the angles 90.00°, 90.00° and 90.00°. The distinct sites, in fractional coordinates, are Cs at (0.0000, 0.0000, 0.0000), K at (0.2500, 0.2500, 0.7500), Ba at (0.2500, 0.2500, 0.2500) and Bi at (0.0000, 0.0000, 0.5000).



Record 11
VASP calculation (PBE) on MgGaAg after structural relaxation.

The mass density comes out at 6.00 g/cm³. As for the total magnetic moment: 0.00 μB per atom. For the formation energy from the elements, the calculation gives -135 meV/atom.

The structure belongs to space group C2/m (No. 12); the cell edges are 10.1015, 4.5111 and 6.2208 Å and the angles 90.00°, 127.94° and 90.00°. The distinct sites, in fractional coordinates, are Mg at (0.0017, 0.0000, 0.2460), Ga at (0.1622, 0.5000, 0.6639) and Ag at (0.1744, 0.5000, 0.1723).



Record 12
VASP calculation (PBE) on PuCd2Cu after structural relaxation.

The mass density comes out at 10.68 g/cm³. As for the total magnetic moment: 1.38 μB per atom. For the formation energy from the elements, the calculation gives 134 meV/atom. As for the distance to the lowest polymorph of the same formula: 128.3 meV/atom.

The structure belongs to space group R-3m (No. 166, hexagonal axes); the cell edges are 3.0941, 3.0941 and 29.9452 Å and the angles 90.00°, 90.00° and 120.00°. The distinct sites, in fractional coordinates, are Pu at (0.0000, 0.0000, 0.0000), Cd at (0.0000, 0.0000, 0.2382) and Cu at (0.0000, 0.0000, 0.5000).



Record 13
VASP calculation (PBE) on RbErSc4S8 after structural relaxation.

The mass density comes out at 3.23 g/cm³. Its energy relative to the elements, uncorrected is -1.736 eV/atom. As for the total magnetic moment: 0.00 μB per atom.

The structure belongs to space group R3m (No. 160, hexagonal axes); the cell edges are 7.8324, 7.8324 and 19.9755 Å and the angles 90.00°, 90.00° and 120.00°. The distinct sites, in fractional coordinates, are Rb at (0.0000, 0.0000, 0.0000), Er at (0.0000, 0.0000, 0.6395), Sc at (0.0000, 0.0000, 0.2614), Sc at (0.1733, 0.3466, 0.4652), S at (0.0000, 0.0000, 0.3913), S at (0.0000, 0.0000, 0.8598), S at (0.0446, 0.5223, 0.3966) and S at (0.1732, 0.3464, 0.2163).



Record 14
VASP calculation (PBE) on YCoB after structural relaxation.

The mass density comes out at 5.56 g/cm³. As for the total magnetic moment: 0.00 μB per atom. For the formation energy from the elements, the calculation gives -492 meV/atom. As for the distance to the lowest polymorph of the same formula: 0.0 meV/atom.

The structure belongs to space group P4/nmm (No. 129, origin choice 2); the cell edges are 3.5348, 3.5348 and 7.5895 Å and the angles 90.00°, 90.00° and 90.00°. The distinct sites, in fractional coordinates, are Y at (0.2500, 0.2500, 0.1981), Co at (0.2500, 0.7500, 0.5000) and B at (0.2500, 0.2500, 0.6285).



Record 15
VASP calculation (PBE) on TbScS2O after structural relaxation.

The mass density comes out at 4.95 g/cm³. Its energy relative to the elements, uncorrected is -2.460 eV/atom. As for the total magnetic moment: 0.00 μB per atom.

The structure belongs to space group P4/nmm (No. 129, origin choice 2); the cell edges are 3.7831, 3.7831 and 13.3020 Å and the angles 90.00°, 90.00° and 90.00°. The distinct sites, in fractional coordinates, are Tb at (0.2500, 0.2500, 0.0894), Sc at (0.2500, 0.2500, 0.6168), S at (0.2500, 0.2500, 0.4104), S at (0.2500, 0.2500, 0.7936) and O at (0.2500, 0.7500, 0.0000).



Record 16
VASP calculation (PBE) on LuZrOsPd after structural relaxation.

The mass density comes out at 12.47 g/cm³. As for the total magnetic moment: 0.00 μB per atom. For the formation energy from the elements, the calculation gives -624 meV/atom.

The structure belongs to space group F-43m (No. 216); the cell edges are 6.6937, 6.6937 and 6.6937 Å and the angles 90.00°, 90.00° and 90.00°. The distinct sites, in fractional coordinates, are Lu at (0.0000, 0.0000, 0.0000), Zr at (0.0000, 0.0000, 0.5000), Os at (0.2500, 0.2500, 0.7500) and Pd at (0.2500, 0.2500, 0.2500).



Record 17
VASP calculation (PBE) on Sr2ScSb after structural relaxation.

The mass density comes out at 3.83 g/cm³. Its energy relative to the elements, uncorrected is -0.435 eV/atom. As for the total magnetic moment: 0.00 μB per atom.

The structure belongs to space group Amm2 (No. 38); the cell edges are 4.5688, 4.9390 and 13.1284 Å and the angles 90.00°, 90.00° and 90.00°. The distinct sites, in fractional coordinates, are Sr at (0.0000, 0.0000, 0.0000), Sr at (0.5000, 0.0000, 0.2980), Sc at (0.5000, 0.0000, 0.5914) and Sb at (0.0000, 0.0000, 0.7229).



Record 18
VASP calculation (PBE) on RbNa2SBr after structural relaxation.

The mass density comes out at 2.26 g/cm³. Its energy relative to the elements, uncorrected is -1.181 eV/atom. As for the total magnetic moment: 0.00 μB per atom.

The structure belongs to space group P4/mmm (No. 123); the cell edges are 5.2360, 5.2360 and 6.5278 Å and the angles 90.00°, 90.00° and 90.00°. The distinct sites, in fractional coordinates, are Rb at (0.0000, 0.0000, 0.0000), Na at (0.0000, 0.5000, 0.5000), S at (0.0000, 0.0000, 0.5000) and Br at (0.5000, 0.5000, 0.0000).



Record 19
VASP calculation (PBE) on YZr2F11 after structural relaxation.

The mass density comes out at 3.77 g/cm³. Its energy relative to the elements, uncorrected is -3.814 eV/atom. As for the total magnetic moment: 0.00 μB per atom.

The structure belongs to space group Ibam (No. 72); the cell edges are 7.8531, 10.0356 and 10.7484 Å and the angles 90.00°, 90.00° and 90.00°. The distinct sites, in fractional coordinates, are Y at (0.0000, 0.0000, 0.2500), Zr at (0.1378, 0.3180, 0.0000), F at (0.0000, 0.5000, 0.0000), F at (0.1007, 0.1791, 0.1393), F at (0.1278, 0.2834, 0.5000) and F at (0.2289, 0.0759, 0.3666).



Record 20
VASP calculation (PBE) on CdCuAsIr2 after structural relaxation.

The mass density comes out at 9.65 g/cm³. As for the total magnetic moment: 0.00 μB per atom. For the formation energy from the elements, the calculation gives 1806 meV/atom.

The structure belongs to space group P4/mmm (No. 123); the cell edges are 4.9047, 4.9047 and 4.5436 Å and the angles 90.00°, 90.00° and 90.00°. The distinct sites, in fractional coordinates, are Cd at (0.0000, 0.0000, 0.0000), Cu at (0.0000, 0.0000, 0.5000), As at (0.5000, 0.5000, 0.5000) and Ir at (0.0000, 0.5000, 0.0000).



Record 21
VASP calculation (PBE) on Se3Br after structural relaxation.

The mass density comes out at 3.57 g/cm³. Its energy relative to the elements, uncorrected is 0.232 eV/atom. As for the total magnetic moment: 0.26 μB per atom. As for the distance to the lowest polymorph of the same formula: 179.0 meV/atom.

The structure belongs to space group Cmcm (No. 63); the cell edges are 5.0873, 14.0186 and 8.2726 Å and the angles 90.00°, 90.00° and 90.00°. The distinct sites, in fractional coordinates, are Se at (0.0000, 0.2273, 0.2500), Se at (0.2250, 0.1247, 0.7500) and Br at (0.0000, 0.3775, 0.7500).



Record 22
VASP calculation (PBE) on YAg2Hg3 after structural relaxation.

The mass density comes out at 11.01 g/cm³. As for the total magnetic moment: 0.00 μB per atom. For the formation energy from the elements, the calculation gives -150 meV/atom.

The structure belongs to space group C2/c (No. 15); the cell edges are 6.3228, 10.1516 and 8.5818 Å and the angles 90.00°, 96.87° and 90.00°. The distinct sites, in fractional coordinates, are Y at (0.0000, 0.1211, 0.2500), Ag at (0.2400, 0.3750, 0.0707), Hg at (0.0000, 0.3494, 0.7500) and Hg at (0.2476, 0.3809, 0.4055).



Record 23
VASP calculation (PBE) on TiRuN3 after structural relaxation.

The mass density comes out at 5.74 g/cm³. Its energy relative to the elements, uncorrected is 0.794 eV/atom. As for the total magnetic moment: 0.00 μB per atom.

The structure belongs to space group Pm-3m (No. 221); the cell edges are 3.8083, 3.8083 and 3.8083 Å and the angles 90.00°, 90.00° and 90.00°. The distinct sites, in fractional coordinates, are Ti at (0.0000, 0.0000, 0.0000), Ru at (0.5000, 0.5000, 0.5000) and N at (0.0000, 0.5000, 0.5000).



Record 24
VASP calculation (PBE) on BeSiO2 after structural relaxation.

The mass density comes out at 3.14 g/cm³. Its energy relative to the elements, uncorrected is -0.222 eV/atom. As for the total magnetic moment: 0.00 μB per atom. As for the distance to the lowest polymorph of the same formula: 1608.0 meV/atom.

The structure belongs to space group Fm-3m (No. 225); the cell edges are 5.2675, 5.2675 and 5.2675 Å and the angles 90.00°, 90.00° and 90.00°. The distinct sites, in fractional coordinates, are Be at (0.0000, 0.0000, 0.0000), Si at (0.0000, 0.0000, 0.5000) and O at (0.2500, 0.2500, 0.2500).



Record 25
VASP calculation (PBE) on CaZr2P after structural relaxation.

The mass density comes out at 4.94 g/cm³. As for the total magnetic moment: 0.36 μB per atom. For the formation energy from the elements, the calculation gives 131 meV/atom.

The structure belongs to space group F-43m (No. 216); the cell edges are 6.9837, 6.9837 and 6.9837 Å and the angles 90.00°, 90.00° and 90.00°. The distinct sites, in fractional coordinates, are Ca at (0.0000, 0.0000, 0.0000), Zr at (0.0000, 0.0000, 0.5000), Zr at (0.2500, 0.2500, 0.7500) and P at (0.2500, 0.2500, 0.2500).